# Pa5C4O (PBE, optimized geometry)
data_Pa5C4O
_symmetry_space_group_name_H-M 'I m m m'
_symmetry_Int_Tables_number 71
_symmetry_space_group_name_Hall '-I 2 2'
_cell_length_a 3.5948
_cell_length_b 5.0333
_cell_length_c 17.8415
_cell_angle_alpha 90.00
_cell_angle_beta 90.00
_cell_angle_gamma 90.00
loop_
_atom_site_label
_atom_site_type_symbol
_atom_site_fract_x
_atom_site_fract_y
_atom_site_fract_z
Pa1 Pa 0.0000 0.0000 0.0000
Pa2 Pa 0.0000 0.0000 0.2002
Pa3 Pa 0.0000 0.0000 0.3995
C1 C 0.0000 0.5000 0.1960
C2 C 0.0000 0.5000 0.4016
O1 O 0.0000 0.5000 0.0000
# energy	-98.73	eV per formula unit